## Pm2Si4Ir (GGA-PBE)

Data for an optimized crystal structure of Pm2Si4Ir.

## Properties
DFT total energy, eV for the cell shown: -44.036
E_form (uncorrected), eV/atom: -0.57

Unit cell a=6.0698 b=6.0698 c=5.7243 alpha=118.16 beta=118.16 gamma=96.31
With the nearest neighbours (Å) after each atom.
Fractional coordinates of all 7 atoms:
Pm 0.2500 0.7500 0.5000  8 Si 3.05
Pm 0.7500 0.2500 0.5000  8 Si 3.05
Si 0.7078 0.7080 0.0000  1 Ir 2.37, 2 Si 2.38
Si 0.2920 0.2922 0.0000  1 Ir 2.37, 2 Si 2.38
Si 0.2923 0.2924 0.5847  1 Ir 2.37, 2 Si 2.38
Si 0.7076 0.7077 0.4153  1 Ir 2.37, 2 Si 2.38
Ir 0.0002 0.9998 0.0000  4 Si 2.37

=====

## Zr2TaAl (GGA-PBE)

Data for an optimized crystal structure of Zr2TaAl.

## Properties
Calculated formation energy, eV per atom: 0.375
DFT total energy, eV for the cell shown: -62.380

Unit cell a=7.7274 b=7.7274 c=6.1487 alpha=51.07 beta=51.07 gamma=90.00
With the nearest neighbours (Å) after each atom.
Fractional coordinates of all 8 atoms:
Al 0.5000 0.5000 0.0000  4 Zr 2.77, 2 Ta 2.82
Al 0.2500 0.7500 0.5000  4 Zr 2.77, 2 Ta 2.82
Zr 0.6158 0.1250 0.2500  2 Al 2.77, 2 Zr 2.82, 2 Ta 2.87
Zr 0.1342 0.6250 0.2500  2 Al 2.77, 2 Zr 2.82, 2 Ta 2.87
Zr 0.3750 0.3842 0.7500  2 Al 2.77, 2 Zr 2.82, 2 Ta 2.87
Zr 0.8750 0.8658 0.7500  2 Al 2.77, 2 Zr 2.82, 2 Ta 2.87
Ta 0.0000 0.0000 0.0000  2 Al 2.82, 4 Zr 2.87
Ta 0.7500 0.2500 0.5000  2 Al 2.82, 4 Zr 2.87

=====

## Be2BH6 (GGA-PBE)

Data for an optimized crystal structure of Be2BH6.

## Properties
DFT total energy, eV for the cell shown: -27.314
Offset from the most stable computed form, meV/atom: 662

Unit cell a=3.9389 b=3.9389 c=3.9386 alpha=60.00 beta=60.00 gamma=60.00
With the nearest neighbours (Å) after each atom.
Fractional coordinates of all 9 atoms:
Be 0.7500 0.7500 0.7500  12 H 1.97
Be 0.2500 0.2500 0.2500  12 H 1.97
B 0.0000 0.0000 0.0000  6 H 1.44
H 0.2593 0.7407 0.7407  1 B 1.44
H 0.7407 0.7407 0.2593  1 B 1.44
H 0.7407 0.2593 0.7407  1 B 1.44
H 0.7407 0.2593 0.2593  1 B 1.44
H 0.2593 0.2593 0.7407  1 B 1.44
H 0.2593 0.7407 0.2593  1 B 1.44

=====

## Ir2Br (GGA-PBE)

Data for an optimized crystal structure of Ir2Br.

## Properties
DFT total energy, eV for the cell shown: -67.527
E_form (uncorrected), eV/atom: 0.84
Offset from the most stable computed form, meV/atom: 482

Unit cell a=5.9750 b=5.9750 c=8.5139 alpha=90.00 beta=90.00 gamma=120.00
With the nearest neighbours (Å) after each atom.
Fractional coordinates of all 12 atoms:
Ir 0.0000 0.0000 0.0000  6 Ir 2.59
Ir 0.0000 0.0000 0.5000  6 Ir 2.59
Ir 0.8566 0.7133 0.2500  2 Br 2.55, 4 Ir 2.57-2.59
Ir 0.1434 0.2867 0.7500  2 Br 2.55, 4 Ir 2.57-2.59
Ir 0.2867 0.1434 0.2500  2 Br 2.55, 4 Ir 2.57-2.59
Ir 0.8566 0.1434 0.2500  2 Br 2.55, 4 Ir 2.57-2.59
Ir 0.1434 0.8566 0.7500  2 Br 2.55, 4 Ir 2.57-2.59
Ir 0.7133 0.8566 0.7500  2 Br 2.55, 4 Ir 2.57-2.59
Br 0.3333 0.6667 0.9405  3 Ir 2.55
Br 0.6667 0.3333 0.4405  3 Ir 2.55
Br 0.6667 0.3333 0.0595  3 Ir 2.55
Br 0.3333 0.6667 0.5595  3 Ir 2.55

=====

## LaAgHg2 (GGA-PBE)

Data for an optimized crystal structure of LaAgHg2.

## Properties
Calculated formation energy, eV per atom: -0.259
DFT total energy, eV for the cell shown: -9.420

Unit cell a=3.6801 b=3.6801 c=7.3255 alpha=90.00 beta=90.00 gamma=90.00
With the nearest neighbours (Å) after each atom.
Fractional coordinates of all 4 atoms:
Hg 0.0000 0.0000 0.9663  4 Ag 3.05, 1 Hg 3.17, 4 La 3.33
Hg 0.0000 0.0000 0.5337  4 Ag 3.05, 1 Hg 3.17, 4 La 3.33
Ag 0.5000 0.5000 0.7500  8 Hg 3.05
La 0.5000 0.5000 0.2500  8 Hg 3.33, 2 Ag 3.66, 4 La 3.68

=====

## BeCrFe2 (GGA-PBE)

Data for an optimized crystal structure of BeCrFe2.

## Properties
Calculated formation energy, eV per atom: 0.029
DFT total energy, eV for the cell shown: -30.158

Unit cell a=2.4600 b=3.5398 c=4.6616 alpha=90.00 beta=90.00 gamma=90.00
With the nearest neighbours (Å) after each atom.
Fractional coordinates of all 4 atoms:
Cr 0.5000 0.5000 0.7418  1 Fe 2.17
Fe 0.0000 0.0000 0.9933  2 Be 2.31-2.36, 4 Cr 2.45, 6 Fe 2.46-2.53
Fe 0.5000 0.5000 0.2771  1 Cr 2.17, 4 Be 2.37
Be 0.0000 0.0000 0.4878  6 Fe 2.31-2.37, 4 Cr 2.46, 2 Be 2.46

=====

Q: Which of these has the lowest DFT total energy?
A: Ir2Br